Record 1
Here is a relaxed structure of Nb3InBr from Alexandria. Energies are from PBE-GGA.

Properties
The distance to the lowest polymorph of the same formula is 1040.6 meV/atom. Its calculated volume is 135.4 Å³/cell. The formation energy (no corrections) is 1.97 eV/atom.

a = 5.1355 Å, b = 5.1355 Å, c = 5.1355 Å
α = 90.00°, β = 90.00°, γ = 90.00°
Space group Pm-3m (No. 221)
Asymmetric unit:
Nb1 0.0000 0.0000 0.5000 (multiplicity 3)
In1 0.0000 0.0000 0.0000 (multiplicity 1)
Br1 0.5000 0.5000 0.5000 (multiplicity 1)

***

Record 2
Here is a relaxed structure of Nb2In2Br7 from Alexandria. Energies are from PBE-GGA.

Properties
Its calculated volume is 1845.6 Å³/cell. The formation energy (no corrections) is -0.51 eV/atom.

a = 11.0235 Å, b = 10.6592 Å, c = 16.2803 Å
α = 90.00°, β = 105.25°, γ = 90.00°
Space group C2/c (No. 15)
Asymmetric unit:
Nb1 0.0930 0.1544 0.4936 (multiplicity 8)
In1 0.2053 0.4578 0.2102 (multiplicity 8)
Br1 0.0000 0.4119 0.7500 (multiplicity 4)
Br2 0.0014 0.0349 0.8913 (multiplicity 8)
Br3 0.0725 0.3251 0.0399 (multiplicity 8)
Br4 0.2257 0.2377 0.3856 (multiplicity 8)

***

Record 3
Here is a relaxed structure of Nb3InBr from Alexandria. Energies are from PBE-GGA.

Properties
The distance to the lowest polymorph of the same formula is 0.0 meV/atom. Its calculated volume is 108.6 Å³/cell. The formation energy (no corrections) is 0.93 eV/atom.

a = 4.7710 Å, b = 4.7710 Å, c = 4.7710 Å
α = 90.00°, β = 90.00°, γ = 90.00°
Space group Pm-3m (No. 221)
Asymmetric unit:
Nb1 0.0000 0.0000 0.5000 (multiplicity 3)
In1 0.5000 0.5000 0.5000 (multiplicity 1)
Br1 0.0000 0.0000 0.0000 (multiplicity 1)

***

Record 4
Here is a relaxed structure of Nb2In5Br12 from Alexandria. Energies are from PBE-GGA.

Properties
Its calculated volume is 1382.9 Å³/cell. The formation energy (no corrections) is -0.73 eV/atom.

a = 18.1993 Å, b = 7.4460 Å, c = 10.5630 Å
α = 90.00°, β = 104.95°, γ = 90.00°
Space group C2/m (No. 12)
Asymmetric unit:
Nb1 0.0000 0.2072 0.0000 (multiplicity 4)
In1 0.0000 0.5000 0.5000 (multiplicity 2)
In2 0.1892 0.0000 0.7983 (multiplicity 4)
In3 0.2021 0.0000 0.3626 (multiplicity 4)
Br1 0.0014 0.5000 0.1661 (multiplicity 4)
Br2 0.0015 0.0000 0.1994 (multiplicity 4)
Br3 0.1437 0.2392 0.0609 (multiplicity 8)
Br4 0.1530 0.2512 0.5715 (multiplicity 8)

***

Record 5
Here is a relaxed structure of NbInBr6 from Alexandria. Energies are from PBE-GGA.

Properties
The distance to the lowest polymorph of the same formula is 7.5 meV/atom. Its calculated volume is 855.0 Å³/cell. The formation energy (no corrections) is -0.79 eV/atom.

a = 7.1126 Å, b = 7.1126 Å, c = 19.5107 Å
α = 90.00°, β = 90.00°, γ = 120.00°
Space group R-3 (No. 148, hexagonal axes)
Asymmetric unit:
Nb1 0.0000 0.0000 0.0000 (multiplicity 3)
In1 0.0000 0.0000 0.5000 (multiplicity 3)
Br1 0.0217 0.6276 0.5916 (multiplicity 18)

***

Record 6
Here is a relaxed structure of NbInOs2Br from Alexandria. Energies are from PBE-GGA.

Properties
Its calculated volume is 120.2 Å³/cell. The formation energy (no corrections) is 2.61 eV/atom.

a = 4.8987 Å, b = 4.8987 Å, c = 5.0087 Å
α = 90.00°, β = 90.00°, γ = 90.00°
Space group P4/mmm (No. 123)
Asymmetric unit:
Nb1 0.0000 0.0000 0.0000 (multiplicity 1)
In1 0.5000 0.5000 0.5000 (multiplicity 1)
Os1 0.0000 0.5000 0.5000 (multiplicity 2)
Br1 0.5000 0.5000 0.0000 (multiplicity 1)